Below is a relaxed Sr2FeAs crystal, with properties calculated at the PBE level.

Unit cell a=6.925 b=6.925 c=6.925 alpha=105.95 beta=105.95 gamma=116.77
Positions (direct):
Sr 0.111 0.125 0.486
Sr 0.375 0.889 0.014
Sr 0.639 0.625 0.514
Sr 0.875 0.361 0.986
Fe 0.250 0.750 0.500
Fe 0.500 0.500 0.000
As 0.000 0.000 0.000
As 0.750 0.250 0.500

M_tot in μB per formula unit: 2.9
ΔE_f in eV/atom: 0.210
SG: No. 122



Below is a relaxed La2Y8Ho crystal, with properties calculated at the PBE level.

Unit cell a=9.246 b=9.246 c=5.941 alpha=104.95 beta=104.95 gamma=121.03
Positions (direct):
La 0.195 0.805 0.000
La 0.805 0.195 0.000
Y 0.079 0.079 0.299
Y 0.175 0.401 0.835
Y 0.292 0.708 0.500
Y 0.401 0.175 0.835
Y 0.599 0.825 0.165
Y 0.708 0.292 0.500
Y 0.825 0.599 0.165
Y 0.921 0.921 0.701
Ho 0.500 0.500 0.500

M_tot in μB per formula unit: 0.0
ΔE_f in eV/atom: 0.159
SG: No. 12



Below is a relaxed NpP2Ir2Ru crystal, with properties calculated at the PBE level.

Unit cell a=4.036 b=7.001 c=6.656 alpha=90.00 beta=90.00 gamma=90.00
Positions (direct):
Np 0.000 0.080 0.000
Np 0.000 0.920 0.500
P 0.000 0.357 0.717
P 0.000 0.643 0.217
P 0.500 0.143 0.292
P 0.500 0.857 0.792
Ir 0.000 0.356 0.370
Ir 0.000 0.644 0.870
Ir 0.500 0.402 0.067
Ir 0.500 0.598 0.567
Ru 0.500 0.199 0.653
Ru 0.500 0.801 0.153

M_tot in μB per formula unit: 3.7
ΔE_f in eV/atom: -0.438
SG: No. 26



Below is a relaxed Tl2CrW2 crystal, with properties calculated at the PBE level.

Unit cell a=8.011 b=8.011 c=3.051 alpha=90.00 beta=90.00 gamma=90.00
Positions (direct):
Tl 0.185 0.315 0.000
Tl 0.315 0.815 0.000
Tl 0.685 0.185 0.000
Tl 0.815 0.685 0.000
Cr 0.000 0.000 0.000
Cr 0.500 0.500 0.000
W 0.110 0.610 0.500
W 0.390 0.110 0.500
W 0.610 0.890 0.500
W 0.890 0.390 0.500

M_tot in μB per formula unit: 0.0
ΔE_f in eV/atom: 1.461
Distance to the lowest polymorph of the same formula in meV/atom: 382
SG: No. 127



Below is a relaxed Tb3Y4In crystal, with properties calculated at the PBE level.

Unit cell a=11.239 b=7.096 c=6.150 alpha=90.00 beta=90.00 gamma=90.00
Positions (direct):
Tb 0.000 0.131 0.000
Tb 0.243 0.383 0.193
Tb 0.257 0.617 0.693
Tb 0.500 0.869 0.500
Tb 0.743 0.617 0.693
Tb 0.757 0.383 0.193
Y 0.000 0.373 0.528
Y 0.000 0.871 0.536
Y 0.235 0.872 0.175
Y 0.265 0.128 0.675
Y 0.500 0.129 0.036
Y 0.500 0.627 0.028
Y 0.735 0.128 0.675
Y 0.765 0.872 0.175
In 0.000 0.623 0.018
In 0.500 0.377 0.518

M_tot in μB per formula unit: 0.0
ΔE_f in eV/atom: -0.112
SG: No. 31



Below is a relaxed ZnCu2Mo crystal, with properties calculated at the PBE level.

Unit cell a=5.295 b=5.295 c=5.295 alpha=151.71 beta=127.85 gamma=60.39
Positions (direct):
Zn 0.000 0.000 0.000
Cu 0.240 0.740 0.500
Cu 0.760 0.260 0.500
Mo 0.500 0.500 0.000

M_tot in μB per formula unit: 0.0
ΔE_f in eV/atom: 0.254
SG: No. 71